# KAu3 | OQMD via LeMat-Bulk | PBE-GGA | relaxed
data_KAu3
_space_group_name_H-M_alt 'R -3 m'
_space_group_IT_number 166
_space_group_name_Hall '-R 3 2"'
_cell_length_a 5.1191
_cell_length_b 5.1191
_cell_length_c 11.9986
_cell_angle_alpha 90.00
_cell_angle_beta 90.00
_cell_angle_gamma 120.00
loop_
_atom_site_label
_atom_site_fract_x
_atom_site_fract_y
_atom_site_fract_z
_atom_site_occupancy
K1 0.0000 0.0000 0.0000 1
Au1 0.0000 0.0000 0.2619 1
Au2 0.0000 0.0000 0.5000 1
# Crystal system   trigonal
# Calculated total energy   -31.5 eV for the cell shown

---

# K5Au4 | OQMD via LeMat-Bulk | PBE-GGA | relaxed
data_K5Au4
_space_group_name_H-M_alt 'C 1 2/m 1'
_space_group_IT_number 12
_cell_length_a 12.0370
_cell_length_b 4.9473
_cell_length_c 11.6793
_cell_angle_alpha 90.00
_cell_angle_beta 114.39
_cell_angle_gamma 90.00
loop_
_space_group_symop_operation_xyz
'x,y,z'
'-x,-y,-z'
'-x,y,-z'
'x,-y,z'
'x+1/2,y+1/2,z'
'-x+1/2,-y+1/2,-z'
'-x+1/2,y+1/2,-z'
'x+1/2,-y+1/2,z'
loop_
_atom_site_label
_atom_site_fract_x
_atom_site_fract_y
_atom_site_fract_z
_atom_site_occupancy
K1 0.0000 0.0000 0.0000 1
K2 0.1040 0.0000 0.4005 1
K3 0.2489 0.5000 0.1744 1
Au1 0.0558 0.5000 0.8342 1
Au2 0.1118 0.5000 0.6148 1
# Crystal system   monoclinic
# Calculated total energy   -42.5 eV for the cell shown

---

# K2Au3 | OQMD via LeMat-Bulk | PBE-GGA | relaxed
data_K2Au3
_space_group_name_H-M_alt 'I m m 2'
_space_group_IT_number 44
_cell_length_a 4.9862
_cell_length_b 5.5913
_cell_length_c 10.1796
_cell_angle_alpha 90.00
_cell_angle_beta 90.00
_cell_angle_gamma 90.00
loop_
_space_group_symop_operation_xyz
'x,y,z'
'-x,-y,z'
'-x,y,z'
'x,-y,z'
'x+1/2,y+1/2,z+1/2'
'-x+1/2,-y+1/2,z+1/2'
'-x+1/2,y+1/2,z+1/2'
'x+1/2,-y+1/2,z+1/2'
loop_
_atom_site_label
_atom_site_fract_x
_atom_site_fract_y
_atom_site_fract_z
_atom_site_occupancy
K1 0.0000 0.0000 0.0000 1
K2 0.0000 0.0000 0.3879 1
Au1 0.0000 0.2537 0.6928 1
Au2 0.0000 0.5000 0.1912 1
# Crystal system   orthorhombic
# Calculated total energy   -27.5 eV for the cell shown

---

# K3Au2 | OQMD via LeMat-Bulk | PBE-GGA | relaxed
data_K3Au2
_space_group_name_H-M_alt 'I m m m'
_space_group_IT_number 71
_space_group_name_Hall '-I 2 2'
_cell_length_a 5.0862
_cell_length_b 7.4731
_cell_length_c 9.5590
_cell_angle_alpha 90.00
_cell_angle_beta 90.00
_cell_angle_gamma 90.00
loop_
_atom_site_label
_atom_site_fract_x
_atom_site_fract_y
_atom_site_fract_z
_atom_site_occupancy
K1 0.0000 0.0000 0.0000 1
K2 0.0000 0.5000 0.2039 1
Au1 0.0000 0.1926 0.5000 1
# Crystal system   orthorhombic
# Calculated total energy   -22.4 eV for the cell shown

---

# K6Au | OQMD via LeMat-Bulk | PBE-GGA | relaxed
data_K6Au
_space_group_name_H-M_alt 'P -3 1 m'
_space_group_IT_number 162
_space_group_name_Hall '-P 3 2'
_cell_length_a 8.0571
_cell_length_b 8.0571
_cell_length_c 7.7644
_cell_angle_alpha 90.00
_cell_angle_beta 90.00
_cell_angle_gamma 120.00
loop_
_atom_site_label
_atom_site_fract_x
_atom_site_fract_y
_atom_site_fract_z
_atom_site_occupancy
K1 0.0000 0.3340 0.2531 1
Au1 0.0000 0.0000 0.5000 1
# Crystal system   trigonal
# Calculated total energy   -10.5 eV for the cell shown

---

# K3Au2 | OQMD via LeMat-Bulk | PBE-GGA | relaxed
data_K3Au2
_space_group_name_H-M_alt 'R -3'
_space_group_IT_number 148
_space_group_name_Hall '-R 3'
_cell_length_a 10.1805
_cell_length_b 10.1805
_cell_length_c 19.1426
_cell_angle_alpha 90.00
_cell_angle_beta 90.00
_cell_angle_gamma 120.00
loop_
_atom_site_label
_atom_site_fract_x
_atom_site_fract_y
_atom_site_fract_z
_atom_site_occupancy
K1 0.0000 0.0000 0.0000 1
K2 0.0000 0.0000 0.2000 1
K3 0.0104 0.2621 0.5936 1
Au1 0.0218 0.6006 0.5630 1
# Crystal system   trigonal
# Calculated total energy   -101.0 eV for the cell shown

---

Q: Look up the calculated total energy of the first one.
A: -31.5 eV for the cell shown

---

Q: The highest calculated total energy belongs to which entry?
A: K6Au

---

Q: The lowest calculated total energy belongs to which entry?
A: number 6

---

Q: Look up the calculated total energy of the sixth one.
A: -101.0 eV for the cell shown